A relaxed MnB2Pb2O6 crystal, computed with GGA+U.

Results
DOS(E_F) (states/eV/f.u.): 0.0
ρ (g cm⁻³): 6.920
E (eV per atom): -7.112

abc: 5.344 5.362 6.438
angles: 114.25 90.00 119.89
Sites, in units of the cell vectors:
O 0.811 0.068 0.767
O 0.220 0.440 0.353
O 0.742 0.932 0.233
O 0.258 0.068 0.767
O 0.189 0.932 0.233
O 0.780 0.560 0.647
Pb 0.292 0.584 0.810
Pb 0.708 0.416 0.190
Mn 0.500 0.000 0.500
B 0.947 0.894 0.729
B 0.053 0.106 0.271